[1]
A geometry-optimized NaSiH2 structure. Source: Alexandria, functional GGA-PBE.

Properties
Its distance to the lowest polymorph of the same formula is 0.653 eV per atom. As for the crystal system: cubic.

abc: 5.668 5.668 5.668
angles: 90.00 90.00 90.00
Fractional positions:
Na  0.000  0.000  0.000
Na  0.000  0.500  0.500
Na  0.500  0.000  0.500
Na  0.500  0.500  0.000
Si  0.000  0.000  0.500
Si  0.000  0.500  0.000
Si  0.500  0.000  0.000
Si  0.500  0.500  0.500
H  0.250  0.250  0.250
H  0.250  0.250  0.750
H  0.250  0.750  0.250
H  0.250  0.750  0.750
H  0.750  0.250  0.250
H  0.750  0.250  0.750
H  0.750  0.750  0.250
H  0.750  0.750  0.750

***

[2]
A geometry-optimized DyTlNi structure. Source: Alexandria, functional GGA-PBE.

Properties
The energy relative to the elements is -241 meV/atom. As for the crystal system: hexagonal.

abc: 4.575 4.575 3.567
angles: 90.00 90.00 120.00
Fractional positions:
Dy  0.000  0.000  0.000
Tl  0.333  0.667  0.500
Ni  0.667  0.333  0.500

***

[3]
A geometry-optimized Zr3Cu structure. Source: Alexandria, functional GGA-PBE.

Properties
The energy relative to the elements is 82 meV/atom. As for the crystal system: trigonal.

abc: 3.225 3.225 28.057
angles: 90.00 90.00 120.00
Fractional positions:
Zr  0.000  0.000  0.000
Zr  0.000  0.000  0.242
Zr  0.000  0.000  0.758
Zr  0.333  0.667  0.424
Zr  0.333  0.667  0.667
Zr  0.333  0.667  0.909
Zr  0.667  0.333  0.091
Zr  0.667  0.333  0.333
Zr  0.667  0.333  0.576
Cu  0.000  0.000  0.500
Cu  0.333  0.667  0.167
Cu  0.667  0.333  0.833

***

[4]
A geometry-optimized ThCoAs structure. Source: Alexandria, functional GGA-PBE.

Properties
The energy relative to the elements is -302 meV/atom. As for the crystal system: tetragonal.

abc: 3.903 3.903 8.572
angles: 90.00 90.00 90.00
Fractional positions:
Th  0.000  0.000  0.000
Th  0.500  0.500  0.500
Co  0.000  0.000  0.397
Co  0.500  0.500  0.897
As  0.000  0.000  0.667
As  0.500  0.500  0.167

***

[5]
A geometry-optimized YHgH structure. Source: Alexandria, functional GGA-PBE.

Properties
Its distance to the lowest polymorph of the same formula is 0.142 eV per atom. As for the crystal system: trigonal.

abc: 3.778 3.778 4.711
angles: 90.00 90.00 120.00
Fractional positions:
Y  0.000  0.000  0.000
Hg  0.667  0.333  0.500
H  0.333  0.667  0.999

***

[6]
A geometry-optimized LiNi2Hg structure. Source: Alexandria, functional GGA-PBE.

Properties
The energy relative to the elements is 116 meV/atom. As for the crystal system: monoclinic.

abc: 2.723 4.299 4.763
angles: 90.00 98.82 90.00
Fractional positions:
Li  0.000  0.000  0.000
Ni  0.193  0.500  0.774
Ni  0.807  0.500  0.226
Hg  0.500  0.000  0.500

***

| no. | magnetic moment (μB per cell) | calculated total energy (eV/atom) |
| --- | --- | --- |
| 1 | 0.0 | -2.66 |
| 2 | 0.0 | -4.49 |
| 3 | 0.0 | -7.35 |
| 4 | 0.0 | -6.69 |
| 5 | 0.0 | -3.79 |
| 6 | 0.5 | -3.33 |